1.
A relaxed CsScPt3 crystal, computed with PBE.

The total magnetic moment is 0.00 μB/cell. The value obtained for the energy relative to the elements is 1629 meV per atom. The final energy comes out at -17.161 eV/cell. The value obtained for the energy above the most stable polymorph in this dataset is 1364 meV per atom.

Unit cell a=5.1637 b=5.1637 c=5.1637 alpha=90.00 beta=90.00 gamma=90.00
With the nearest neighbours (Å) after each atom.
Element x y z (fractional)
Cs 0.0000 0.0000 0.0000  6 Pt 2.58
Sc 0.5000 0.5000 0.5000  12 Pt 3.65
Pt 0.0000 0.0000 0.5000  2 Cs 2.58
Pt 0.0000 0.5000 0.0000  2 Cs 2.58
Pt 0.5000 0.0000 0.0000  2 Cs 2.58

2.
A relaxed CsSc2Pt crystal, computed with PBE.

The total magnetic moment is 0.00 μB/cell. The value obtained for the energy relative to the elements is 226 meV per atom. The final energy comes out at -18.653 eV/cell. The value obtained for the energy above the most stable polymorph in this dataset is 475 meV per atom.

Unit cell a=5.0722 b=5.0722 c=5.0722 alpha=60.00 beta=60.00 gamma=60.00
With the nearest neighbours (Å) after each atom.
Element x y z (fractional)
Cs 0.0000 0.0000 0.0000  8 Sc 3.11
Sc 0.2500 0.2500 0.2500  4 Pt 3.11, 4 Cs 3.11
Sc 0.7500 0.7500 0.7500  4 Pt 3.11, 4 Cs 3.11
Pt 0.5000 0.5000 0.5000  8 Sc 3.11

3.
A relaxed CsSc2Pt crystal, computed with PBE.

The total magnetic moment is 0.00 μB/cell. The value obtained for the energy relative to the elements is -249 meV per atom. The final energy comes out at -20.555 eV/cell. The value obtained for the energy above the most stable polymorph in this dataset is 0 meV per atom.

Unit cell a=10.5926 b=10.5926 c=10.5926 alpha=22.18 beta=22.18 gamma=22.18
With the nearest neighbours (Å) after each atom.
Element x y z (fractional)
Cs 0.0000 0.0000 0.0000  2 Sc 3.94, 6 Cs 4.07
Sc 0.1272 0.1272 0.1272  3 Pt 2.65
Sc 0.8728 0.8728 0.8728  3 Pt 2.65
Pt 0.5000 0.5000 0.5000  6 Sc 2.65

4.
A relaxed CsSc3Pt crystal, computed with PBE.

The total magnetic moment is 0.00 μB/cell. The value obtained for the energy relative to the elements is 1470 meV per atom. The final energy comes out at -18.540 eV/cell. The value obtained for the energy above the most stable polymorph in this dataset is 1532 meV per atom.

Unit cell a=5.0963 b=5.0963 c=5.0963 alpha=90.00 beta=90.00 gamma=90.00
With the nearest neighbours (Å) after each atom.
Element x y z (fractional)
Cs 0.0000 0.0000 0.0000  6 Sc 2.55
Sc 0.0000 0.0000 0.5000  2 Cs 2.55
Sc 0.0000 0.5000 0.0000  2 Cs 2.55
Sc 0.5000 0.0000 0.0000  2 Cs 2.55
Pt 0.5000 0.5000 0.5000  12 Sc 3.60

5.
A relaxed CsSc3Pt crystal, computed with PBE.

The total magnetic moment is 0.00 μB/cell. The value obtained for the energy relative to the elements is -62 meV per atom. The final energy comes out at -26.199 eV/cell. The value obtained for the energy above the most stable polymorph in this dataset is 0 meV per atom.

Unit cell a=5.3136 b=5.3136 c=5.3136 alpha=90.00 beta=90.00 gamma=90.00
With the nearest neighbours (Å) after each atom.
Element x y z (fractional)
Cs 0.0000 0.0000 0.0000  12 Sc 3.76
Sc 0.0000 0.5000 0.5000  2 Pt 2.66
Sc 0.5000 0.0000 0.5000  2 Pt 2.66
Sc 0.5000 0.5000 0.0000  2 Pt 2.66
Pt 0.5000 0.5000 0.5000  6 Sc 2.66

6.
A relaxed Cs3ScPt crystal, computed with PBE.

The total magnetic moment is 2.00 μB/cell. The value obtained for the energy relative to the elements is 586 meV per atom. The final energy comes out at -12.001 eV/cell.

Unit cell a=6.7198 b=6.7198 c=6.7198 alpha=90.00 beta=90.00 gamma=90.00
With the nearest neighbours (Å) after each atom.
Element x y z (fractional)
Cs 0.0000 0.0000 0.5000  2 Pt 3.36
Cs 0.0000 0.5000 0.0000  2 Pt 3.36
Cs 0.5000 0.0000 0.0000  2 Pt 3.36
Sc 0.5000 0.5000 0.5000  12 Cs 4.75
Pt 0.0000 0.0000 0.0000  6 Cs 3.36

What is the final energy in the fourth record? -18.540 eV/cell